The following is a PBEsol calculation of crystalline Au3C at its relaxed geometry, from Alexandria.

Values from the calculation:
- formation energy from the elements (eV per atom) = 1.065
- ΔE to the lowest computed polymorph (meV/atom) = 0
- space group = P-6m2 (187)

```
Au3C
1.0
3.057 0.000 0.000
-1.529 2.648 0.000
0.000 0.000 7.336
Au C
3 1
direct
0.000 0.000 0.000
0.667 0.333 0.304
0.667 0.333 0.696
0.000 0.000 0.500
```